Here is crystalline Li2Tb2Tl3 at its relaxed geometry from the Alexandria database. Energies are from PBE.

The structure belongs to space group Cmmm (No. 65); the cell edges are 3.794, 25.528 and 3.518 Å and the angles 90.00°, 90.00° and 90.00°. Symmetry generates all atoms from Li at (0.000, 0.214, 0.000), Tb at (0.000, 0.081, 0.000), Tl at (0.000, 0.336, 0.500) and Tl at (0.000, 0.500, 0.500).

The value obtained for the volume is 340.7 Å³ per cell. As for the formation energy: -248 meV per atom.